[1]
# Th2TeIr (PBE, relaxed)
data_Th2TeIr
_space_group_name_H-M_alt 'R -3 m'
_space_group_IT_number 166
_space_group_name_Hall '-R 3 2"'
_cell_length_a 4.2071
_cell_length_b 4.2071
_cell_length_c 23.1045
_cell_angle_alpha 90.00
_cell_angle_beta 90.00
_cell_angle_gamma 120.00
loop_
_atom_site_label
_atom_site_type_symbol
_atom_site_fract_x
_atom_site_fract_y
_atom_site_fract_z
_atom_site_occupancy
Th1 Th 0.0000 0.0000 0.2340 1
Te1 Te 0.0000 0.0000 0.0000 1
Ir1 Ir 0.0000 0.0000 0.5000 1
# Total magnetic moment, μB/cell: 0.0
# Uncorrected energy, eV/cell: -94.2

***

[2]
# Tl2TeIr (PBE, relaxed)
data_Tl2TeIr
_space_group_name_H-M_alt 'F -4 3 m'
_space_group_IT_number 216
_space_group_name_Hall 'F -4 2 3'
_cell_length_a 7.192
_cell_length_b 7.192
_cell_length_c 7.192
_cell_angle_alpha 90.00
_cell_angle_beta 90.00
_cell_angle_gamma 90.00
loop_
_atom_site_label
_atom_site_type_symbol
_atom_site_fract_x
_atom_site_fract_y
_atom_site_fract_z
_atom_site_occupancy
Tl1 Tl 0.000 0.000 0.000 1
Tl2 Tl 0.250 0.250 0.250 1
Te1 Te 0.000 0.000 0.500 1
Ir1 Ir 0.250 0.250 0.750 1
# Total magnetic moment, μB/cell: 0.0
# Uncorrected energy, eV/cell: -58.8

***

[3]
# TlTe5Ir3 (PBE, relaxed)
data_TlTe5Ir3
_space_group_name_H-M_alt 'P 6/m m m'
_space_group_IT_number 191
_space_group_name_Hall '-P 6 2'
_cell_length_a 5.8729
_cell_length_b 5.8729
_cell_length_c 7.8449
_cell_angle_alpha 90.00
_cell_angle_beta 90.00
_cell_angle_gamma 120.00
loop_
_atom_site_label
_atom_site_type_symbol
_atom_site_fract_x
_atom_site_fract_y
_atom_site_fract_z
_atom_site_occupancy
Tl1 Tl 0.0000 0.0000 0.0000 1
Te1 Te 0.0000 0.0000 0.5000 1
Te2 Te 0.3333 0.6667 0.2319 1
Ir1 Ir 0.0000 0.5000 0.5000 1
# Total magnetic moment, μB/cell: 0.0
# Uncorrected energy, eV/cell: -44.1

***

[4]
# Tm5Te3Ir (PBE, relaxed)
data_Tm5Te3Ir
_space_group_name_H-M_alt 'P -6 2 m'
_space_group_IT_number 189
_space_group_name_Hall 'P -6 -2'
_cell_length_a 8.5986
_cell_length_b 8.5986
_cell_length_c 3.7750
_cell_angle_alpha 90.00
_cell_angle_beta 90.00
_cell_angle_gamma 120.00
loop_
_atom_site_label
_atom_site_type_symbol
_atom_site_fract_x
_atom_site_fract_y
_atom_site_fract_z
_atom_site_occupancy
Tm1 Tm 0.0000 0.2305 0.0000 1
Tm2 Tm 0.3333 0.6667 0.0000 1
Te1 Te 0.0000 0.5623 0.5000 1
Ir1 Ir 0.0000 0.0000 0.5000 1
# Total magnetic moment, μB/cell: 0.1
# Relative energy among the computed polymorphs, meV per atom: 0.0